No. 1
Density functional theory data (PBE-GGA) for Ac4YEr after structural relaxation.

Magnetic moment   0.00 μB per formula unit
Density   7.540 g/cm³
Energy above the lowest structure with this stoichiometry   217 meV per atom
Total DFT energy (no corrections)   -4.193 eV per atom

Cell lengths 10.084, 10.084, 10.084 Å; angles 90.00, 90.00, 90.00 degrees
Space group F-43m (No. 216)
Asymmetric unit:
Ac: 0.125 0.125 0.125 [16 per cell]
Y: 0.250 0.250 0.750 [4 per cell]
Er: 0.000 0.000 0.500 [4 per cell]

---

No. 2
Density functional theory data (PBE-GGA) for Ac2Y2Er5 after structural relaxation.

Magnetic moment   0.00 μB per formula unit
Density   7.887 g/cm³
Total DFT energy (no corrections)   -4.734 eV per atom

Cell lengths 19.733, 3.579, 8.786 Å; angles 90.00, 94.98, 90.00 degrees
Space group C2/m (No. 12)
Asymmetric unit:
Ac: 0.169 0.000 0.491 [4 per cell]
Y: 0.101 0.500 0.823 [4 per cell]
Er: 0.000 0.000 0.500 [2 per cell]
Er: 0.060 0.000 0.145 [4 per cell]
Er: 0.224 0.500 0.154 [4 per cell]

---

Which value of total DFT energy (no corrections) does entry 1 give?
-4.193 eV per atom

---

Which of these has the lowest total DFT energy (no corrections)?
Ac2Y2Er5

---

The highest total DFT energy (no corrections) belongs to which entry?
Ac4YEr